[1]
Here is a relaxed Eu3BiH crystal from Alexandria. Energies are from PBE.

```
data_Eu3BiH
_chemical_formula_sum 'Eu3 Bi1 H1'
_cell_length_a 5.0968
_cell_length_b 5.0968
_cell_length_c 5.0968
_cell_angle_alpha 90.00
_cell_angle_beta 90.00
_cell_angle_gamma 90.00
_symmetry_space_group_name_H-M 'P m -3 m'
_symmetry_Int_Tables_number 221
_symmetry_space_group_name_Hall '-P 4 2 3'
loop_
_atom_site_label
_atom_site_type_symbol
_atom_site_fract_x
_atom_site_fract_y
_atom_site_fract_z
Eu1 Eu 0.0000 0.0000 0.5000
Bi1 Bi 0.5000 0.5000 0.5000
H1 H 0.0000 0.0000 0.0000
```

- Volume: 132.4 Å³/f.u.
- Total DFT energy (no corrections): -40.926 eV per cell

[2]
Here is a relaxed Zr6CO2 crystal from Alexandria. Energies are from PBE.

```
data_Zr6CO2
_chemical_formula_sum 'Zr6 C1 O2'
_cell_length_a 5.7043
_cell_length_b 5.7043
_cell_length_c 5.2646
_cell_angle_alpha 90.00
_cell_angle_beta 90.00
_cell_angle_gamma 120.00
_symmetry_space_group_name_H-M 'P -3 1 m'
_symmetry_Int_Tables_number 162
_symmetry_space_group_name_Hall '-P 3 2'
loop_
_atom_site_label
_atom_site_type_symbol
_atom_site_fract_x
_atom_site_fract_y
_atom_site_fract_z
Zr1 Zr 0.0000 0.3299 0.2483
C1 C 0.0000 0.0000 0.0000
O1 O 0.3333 0.6667 0.5000
```

- Volume: 148.4 Å³/f.u.
- Total DFT energy (no corrections): -82.658 eV per cell
- Formation energy without anion corrections: -1.36 eV/atom

[3]
Here is a relaxed Mg2Zn3Cd crystal from Alexandria. Energies are from PBE.

```
data_Mg2Zn3Cd
_chemical_formula_sum 'Mg16 Zn24 Cd8'
_cell_length_a 6.2746
_cell_length_b 9.1799
_cell_length_c 15.4576
_cell_angle_alpha 90.00
_cell_angle_beta 90.00
_cell_angle_gamma 90.00
_symmetry_space_group_name_H-M 'F m m m'
_symmetry_Int_Tables_number 69
_symmetry_space_group_name_Hall '-F 2 2'
loop_
_atom_site_label
_atom_site_type_symbol
_atom_site_fract_x
_atom_site_fract_y
_atom_site_fract_z
Mg1 Mg 0.2485 0.0000 0.0000
Mg2 Mg 0.2500 0.2500 0.2500
Zn1 Zn 0.0000 0.0000 0.1608
Zn2 Zn 0.0000 0.2426 0.0817
Cd1 Cd 0.0000 0.0000 0.3338
```

- Volume: 111.3 Å³/f.u.
- Total DFT energy (no corrections): -66.360 eV per cell
- Formation energy from the elements: -0.4 eV/f.u.
- E above lowest polymorph: 0.0000 eV/atom

[4]
Here is a relaxed LaPrNdY3 crystal from Alexandria. Energies are from PBE.

```
data_LaPrNdY3
_chemical_formula_sum 'La4 Pr4 Nd4 Y12'
_cell_length_a 5.1650
_cell_length_b 15.4847
_cell_length_c 10.2793
_cell_angle_alpha 90.00
_cell_angle_beta 90.00
_cell_angle_gamma 90.00
_symmetry_space_group_name_H-M 'C m c m'
_symmetry_Int_Tables_number 63
_symmetry_space_group_name_Hall '-C 2c 2'
loop_
_atom_site_label
_atom_site_type_symbol
_atom_site_fract_x
_atom_site_fract_y
_atom_site_fract_z
La1 La 0.0000 0.9999 0.2500
Pr1 Pr 0.0000 0.3315 0.2500
Nd1 Nd 0.0000 0.5000 0.0000
Y1 Y 0.0000 0.1680 0.0000
Y2 Y 0.0000 0.3323 0.7500
```

- Volume: 205.5 Å³/f.u.
- Total DFT energy (no corrections): -134.984 eV per cell
- Formation energy from the elements: 0.1 eV/f.u.

[5]
Here is a relaxed AsRuRh2 crystal from Alexandria. Energies are from PBE.

```
data_AsRuRh2
_chemical_formula_sum 'As1 Ru1 Rh2'
_cell_length_a 2.8291
_cell_length_b 3.6898
_cell_length_c 5.5811
_cell_angle_alpha 90.00
_cell_angle_beta 90.00
_cell_angle_gamma 90.00
_symmetry_space_group_name_H-M 'P m m 2'
_symmetry_Int_Tables_number 25
_symmetry_space_group_name_Hall 'P 2 -2'
loop_
_atom_site_label
_atom_site_type_symbol
_atom_site_fract_x
_atom_site_fract_y
_atom_site_fract_z
As1 As 0.0000 0.0000 0.0000
Ru1 Ru 0.5000 0.5000 0.7268
Rh1 Rh 0.0000 0.0000 0.5016
Rh2 Rh 0.5000 0.5000 0.2357
```

- Volume: 58.3 Å³/f.u.
- Total DFT energy (no corrections): -28.334 eV per cell
- Formation energy from the elements: 0.3 eV/f.u.

[6]
Here is a relaxed Pr8Dy2Y3 crystal from Alexandria. Energies are from PBE.

```
data_Pr8Dy2Y3
_chemical_formula_sum 'Pr8 Dy2 Y3'
_cell_length_a 7.7778
_cell_length_b 5.7965
_cell_length_c 11.0070
_cell_angle_alpha 90.00
_cell_angle_beta 110.68
_cell_angle_gamma 90.00
_symmetry_space_group_name_H-M 'P 1 2/m 1'
_symmetry_Int_Tables_number 10
_symmetry_space_group_name_Hall '-P 2y'
loop_
_atom_site_label
_atom_site_type_symbol
_atom_site_fract_x
_atom_site_fract_y
_atom_site_fract_z
Pr1 Pr 0.0982 0.0000 0.2876
Pr2 Pr 0.1743 0.5000 0.8480
Pr3 Pr 0.3104 0.0000 0.7123
Pr4 Pr 0.3678 0.5000 0.2358
Dy1 Dy 0.2607 0.0000 0.0201
Y1 Y 0.2155 0.5000 0.5000
Y2 Y 0.5000 0.0000 0.5000
```

- Volume: 464.3 Å³/f.u.
- Total DFT energy (no corrections): -64.298 eV per cell
- Formation energy from the elements: 2.5 eV/f.u.

[7]
Here is a relaxed CrMo2Se2S4 crystal from Alexandria. Energies are from PBE.

```
data_CrMo2Se2S4
_chemical_formula_sum 'Cr1 Mo2 Se2 S4'
_cell_length_a 3.1951
_cell_length_b 3.1951
_cell_length_c 21.5088
_cell_angle_alpha 90.00
_cell_angle_beta 90.00
_cell_angle_gamma 120.00
_symmetry_space_group_name_H-M 'P 3 m 1'
_symmetry_Int_Tables_number 156
_symmetry_space_group_name_Hall 'P 3 -2"'
loop_
_atom_site_label
_atom_site_type_symbol
_atom_site_fract_x
_atom_site_fract_y
_atom_site_fract_z
Cr1 Cr 0.0000 0.0000 0.0000
Mo1 Mo 0.0000 0.0000 0.6498
Mo2 Mo 0.6667 0.3333 0.3264
Se1 Se 0.6667 0.3333 0.0734
Se2 Se 0.6667 0.3333 0.9266
S1 S 0.0000 0.0000 0.2538
S2 S 0.0000 0.0000 0.3991
S3 S 0.6667 0.3333 0.5772
S4 S 0.6667 0.3333 0.7225
```

- Volume: 190.2 Å³/f.u.
- Total DFT energy (no corrections): -61.481 eV per cell
- Formation energy without anion corrections: -0.75 eV/atom

[8]
Here is a relaxed Tl3CdAg crystal from Alexandria. Energies are from PBE.

```
data_Tl3CdAg
_chemical_formula_sum 'Tl3 Cd1 Ag1'
_cell_length_a 5.5420
_cell_length_b 5.5420
_cell_length_c 5.5420
_cell_angle_alpha 90.00
_cell_angle_beta 90.00
_cell_angle_gamma 90.00
_symmetry_space_group_name_H-M 'P m -3 m'
_symmetry_Int_Tables_number 221
_symmetry_space_group_name_Hall '-P 4 2 3'
loop_
_atom_site_label
_atom_site_type_symbol
_atom_site_fract_x
_atom_site_fract_y
_atom_site_fract_z
Tl1 Tl 0.0000 0.0000 0.5000
Cd1 Cd 0.5000 0.5000 0.5000
Ag1 Ag 0.0000 0.0000 0.0000
```

- Volume: 170.2 Å³/f.u.
- Total DFT energy (no corrections): -9.592 eV per cell
- Formation energy from the elements: 1.3 eV/f.u.
- E above lowest polymorph: 0.0000 eV/atom

[9]
Here is a relaxed CeSmThPb crystal from Alexandria. Energies are from PBE.

```
data_CeSmThPb
_chemical_formula_sum 'Ce4 Sm4 Th4 Pb4'
_cell_length_a 7.8382
_cell_length_b 7.8382
_cell_length_c 7.8382
_cell_angle_alpha 90.00
_cell_angle_beta 90.00
_cell_angle_gamma 90.00
_symmetry_space_group_name_H-M 'F -4 3 m'
_symmetry_Int_Tables_number 216
_symmetry_space_group_name_Hall 'F -4 2 3'
loop_
_atom_site_label
_atom_site_type_symbol
_atom_site_fract_x
_atom_site_fract_y
_atom_site_fract_z
Ce1 Ce 0.0000 0.0000 0.0000
Sm1 Sm 0.0000 0.0000 0.5000
Th1 Th 0.2500 0.2500 0.7500
Pb1 Pb 0.2500 0.2500 0.2500
```

- Volume: 120.4 Å³/f.u.
- Total DFT energy (no corrections): -87.710 eV per cell
- Formation energy from the elements: -0.1 eV/f.u.

[10]
Here is a relaxed CsBeBi3 crystal from Alexandria. Energies are from PBE.

```
data_CsBeBi3
_chemical_formula_sum 'Cs1 Be1 Bi3'
_cell_length_a 6.4290
_cell_length_b 6.4290
_cell_length_c 6.4290
_cell_angle_alpha 90.00
_cell_angle_beta 90.00
_cell_angle_gamma 90.00
_symmetry_space_group_name_H-M 'P m -3 m'
_symmetry_Int_Tables_number 221
_symmetry_space_group_name_Hall '-P 4 2 3'
loop_
_atom_site_label
_atom_site_type_symbol
_atom_site_fract_x
_atom_site_fract_y
_atom_site_fract_z
Cs1 Cs 0.0000 0.0000 0.0000
Be1 Be 0.5000 0.5000 0.5000
Bi1 Bi 0.0000 0.0000 0.5000
```

- Volume: 265.7 Å³/f.u.
- Total DFT energy (no corrections): -6.727 eV per cell
- Formation energy from the elements: 9.5 eV/f.u.
- E above lowest polymorph: 1.6727 eV/atom

[11]
Here is a relaxed Na6SnHg12 crystal from Alexandria. Energies are from PBE.

```
data_Na6SnHg12
_chemical_formula_sum 'Na18 Sn3 Hg36'
_cell_length_a 13.6533
_cell_length_b 13.6533
_cell_length_c 9.6167
_cell_angle_alpha 90.00
_cell_angle_beta 90.00
_cell_angle_gamma 120.00
_symmetry_space_group_name_H-M 'R -3'
_symmetry_Int_Tables_number 148
_symmetry_space_group_name_Hall '-R 3'
loop_
_atom_site_label
_atom_site_type_symbol
_atom_site_fract_x
_atom_site_fract_y
_atom_site_fract_z
Na1 Na 0.0447 0.2120 0.2525
Sn1 Sn 0.0000 0.0000 0.5000
Hg1 Hg 0.0504 0.2239 0.9176
Hg2 Hg 0.0506 0.2442 0.5863
```

- Volume: 517.5 Å³/f.u.
- Total DFT energy (no corrections): -55.836 eV per cell
- Formation energy from the elements: -3.1 eV/f.u.

[12]
Here is a relaxed KBaRe2 crystal from Alexandria. Energies are from PBE.

```
data_KBaRe2
_chemical_formula_sum 'K1 Ba1 Re2'
_cell_length_a 3.7047
_cell_length_b 4.1469
_cell_length_c 5.7580
_cell_angle_alpha 90.00
_cell_angle_beta 90.00
_cell_angle_gamma 90.00
_symmetry_space_group_name_H-M 'P m m m'
_symmetry_Int_Tables_number 47
_symmetry_space_group_name_Hall '-P 2 2'
loop_
_atom_site_label
_atom_site_type_symbol
_atom_site_fract_x
_atom_site_fract_y
_atom_site_fract_z
K1 K 0.0000 0.0000 0.0000
Ba1 Ba 0.5000 0.5000 0.0000
Re1 Re 0.0000 0.5000 0.5000
Re2 Re 0.5000 0.0000 0.5000
```

- Volume: 88.5 Å³/f.u.
- Total DFT energy (no corrections): -21.752 eV per cell
- Formation energy from the elements: 6.2 eV/f.u.
- E above lowest polymorph: 0.8857 eV/atom

[13]
Here is a relaxed SrLi2AcTl2 crystal from Alexandria. Energies are from PBE.

```
data_SrLi2AcTl2
_chemical_formula_sum 'Sr1 Li2 Ac1 Tl2'
_cell_length_a 5.1316
_cell_length_b 5.1316
_cell_length_c 8.0523
_cell_angle_alpha 90.00
_cell_angle_beta 90.00
_cell_angle_gamma 120.00
_symmetry_space_group_name_H-M 'P -3 m 1'
_symmetry_Int_Tables_number 164
_symmetry_space_group_name_Hall '-P 3 2"'
loop_
_atom_site_label
_atom_site_type_symbol
_atom_site_fract_x
_atom_site_fract_y
_atom_site_fract_z
Sr1 Sr 0.0000 0.0000 0.0000
Li1 Li 0.3333 0.6667 0.7381
Ac1 Ac 0.0000 0.0000 0.5000
Tl1 Tl 0.3333 0.6667 0.2734
```

- Volume: 183.6 Å³/f.u.
- Total DFT energy (no corrections): -15.986 eV per cell
- Formation energy from the elements: -1.6 eV/f.u.

[14]
Here is a relaxed Mg4Sc5 crystal from Alexandria. Energies are from PBE.

```
data_Mg4Sc5
_chemical_formula_sum 'Mg8 Sc10'
_cell_length_a 8.8785
_cell_length_b 8.8785
_cell_length_c 6.2607
_cell_angle_alpha 90.00
_cell_angle_beta 90.00
_cell_angle_gamma 120.00
_symmetry_space_group_name_H-M 'P 63/m c m'
_symmetry_Int_Tables_number 193
_symmetry_space_group_name_Hall '-P 6c 2'
loop_
_atom_site_label
_atom_site_type_symbol
_atom_site_fract_x
_atom_site_fract_y
_atom_site_fract_z
Mg1 Mg 0.0000 0.0000 0.0000
Mg2 Mg 0.0000 0.3280 0.2500
Sc1 Sc 0.0000 0.3436 0.7500
Sc2 Sc 0.3333 0.6667 0.0000
```

- Volume: 213.7 Å³/f.u.
- Total DFT energy (no corrections): -75.566 eV per cell
- Formation energy from the elements: 0.3 eV/f.u.
- E above lowest polymorph: 0.0244 eV/atom

[15]
Here is a relaxed YNbCu3 crystal from Alexandria. Energies are from PBE.

```
data_YNbCu3
_chemical_formula_sum 'Y1 Nb1 Cu3'
_cell_length_a 4.7342
_cell_length_b 4.7342
_cell_length_c 4.7342
_cell_angle_alpha 90.00
_cell_angle_beta 90.00
_cell_angle_gamma 90.00
_symmetry_space_group_name_H-M 'P m -3 m'
_symmetry_Int_Tables_number 221
_symmetry_space_group_name_Hall '-P 4 2 3'
loop_
_atom_site_label
_atom_site_type_symbol
_atom_site_fract_x
_atom_site_fract_y
_atom_site_fract_z
Y1 Y 0.0000 0.0000 0.0000
Nb1 Nb 0.5000 0.5000 0.5000
Cu1 Cu 0.0000 0.5000 0.5000
```

- Volume: 106.1 Å³/f.u.
- Total DFT energy (no corrections): -25.216 eV per cell
- Formation energy from the elements: 3.6 eV/f.u.
- E above lowest polymorph: 0.0000 eV/atom

[16]
Here is a relaxed ThPaPt2 crystal from Alexandria. Energies are from PBE.

```
data_ThPaPt2
_chemical_formula_sum 'Th2 Pa2 Pt4'
_cell_length_a 6.5435
_cell_length_b 4.5107
_cell_length_c 6.6185
_cell_angle_alpha 90.00
_cell_angle_beta 113.06
_cell_angle_gamma 90.00
_symmetry_space_group_name_H-M 'P 1 21/m 1'
_symmetry_Int_Tables_number 11
_symmetry_space_group_name_Hall '-P 2yb'
loop_
_atom_site_label
_atom_site_type_symbol
_atom_site_fract_x
_atom_site_fract_y
_atom_site_fract_z
Th1 Th 0.1075 0.2500 0.3802
Pa1 Pa 0.4164 0.7500 0.0968
Pt1 Pt 0.1131 0.2500 0.9317
Pt2 Pt 0.4247 0.7500 0.6070
```

- Volume: 89.9 Å³/f.u.
- Total DFT energy (no corrections): -65.835 eV per cell
- Formation energy from the elements: -3.9 eV/f.u.
- E above lowest polymorph: 0.0228 eV/atom

[17]
Here is a relaxed AcEr2Pu crystal from Alexandria. Energies are from PBE.

```
data_AcEr2Pu
_chemical_formula_sum 'Ac1 Er2 Pu1'
_cell_length_a 5.0758
_cell_length_b 5.0758
_cell_length_c 5.1212
_cell_angle_alpha 90.00
_cell_angle_beta 90.00
_cell_angle_gamma 90.00
_symmetry_space_group_name_H-M 'P 4/m m m'
_symmetry_Int_Tables_number 123
_symmetry_space_group_name_Hall '-P 4 2'
loop_
_atom_site_label
_atom_site_type_symbol
_atom_site_fract_x
_atom_site_fract_y
_atom_site_fract_z
Ac1 Ac 0.0000 0.0000 0.0000
Er1 Er 0.0000 0.5000 0.5000
Pu1 Pu 0.5000 0.5000 0.0000
```

- Volume: 131.9 Å³/f.u.
- Total DFT energy (no corrections): -26.798 eV per cell
- Formation energy from the elements: 0.8 eV/f.u.
- E above lowest polymorph: 0.0464 eV/atom

[18]
Here is a relaxed Y2NpOs2 crystal from Alexandria. Energies are from PBE.

```
data_Y2NpOs2
_chemical_formula_sum 'Y8 Np4 Os8'
_cell_length_a 9.9111
_cell_length_b 5.7981
_cell_length_c 7.9736
_cell_angle_alpha 90.00
_cell_angle_beta 101.63
_cell_angle_gamma 90.00
_symmetry_space_group_name_H-M 'C 1 2/c 1'
_symmetry_Int_Tables_number 15
_symmetry_space_group_name_Hall '-C 2yc'
loop_
_atom_site_label
_atom_site_type_symbol
_atom_site_fract_x
_atom_site_fract_y
_atom_site_fract_z
Y1 Y 0.1503 0.1360 0.1504
Np1 Np 0.0000 0.3648 0.7500
Os1 Os 0.1331 0.3628 0.5072
```

- Volume: 112.2 Å³/f.u.
- Total DFT energy (no corrections): -196.834 eV per cell
- Formation energy from the elements: -0.9 eV/f.u.

[19]
Here is a relaxed Li3TbCu8 crystal from Alexandria. Energies are from PBE.

```
data_Li3TbCu8
_chemical_formula_sum 'Li3 Tb1 Cu8'
_cell_length_a 4.9862
_cell_length_b 4.9862
_cell_length_c 8.1534
_cell_angle_alpha 90.00
_cell_angle_beta 90.00
_cell_angle_gamma 120.00
_symmetry_space_group_name_H-M 'P 3 m 1'
_symmetry_Int_Tables_number 156
_symmetry_space_group_name_Hall 'P 3 -2"'
loop_
_atom_site_label
_atom_site_type_symbol
_atom_site_fract_x
_atom_site_fract_y
_atom_site_fract_z
Li1 Li 0.0000 0.0000 0.0000
Li2 Li 0.0000 0.0000 0.3470
Li3 Li 0.3333 0.6667 0.9063
Tb1 Tb 0.3333 0.6667 0.5073
Cu1 Cu 0.0012 0.5006 0.1896
Cu2 Cu 0.3286 0.1643 0.6996
Cu3 Cu 0.6667 0.3333 0.4416
Cu4 Cu 0.6667 0.3333 0.9427
```

- Volume: 175.6 Å³/f.u.
- Total DFT energy (no corrections): -44.597 eV per cell
- Formation energy from the elements: -1.5 eV/f.u.
- E above lowest polymorph: 0.0000 eV/atom

[20]
Here is a relaxed Ce4PS2Br crystal from Alexandria. Energies are from PBE.

```
data_Ce4PS2Br
_chemical_formula_sum 'Ce4 P1 S2 Br1'
_cell_length_a 7.0735
_cell_length_b 4.0761
_cell_length_c 7.0967
_cell_angle_alpha 90.00
_cell_angle_beta 109.31
_cell_angle_gamma 90.00
_symmetry_space_group_name_H-M 'P 1 2/m 1'
_symmetry_Int_Tables_number 10
_symmetry_space_group_name_Hall '-P 2y'
loop_
_atom_site_label
_atom_site_type_symbol
_atom_site_fract_x
_atom_site_fract_y
_atom_site_fract_z
Ce1 Ce 0.2328 0.0000 0.2313
Ce2 Ce 0.2429 0.5000 0.7601
P1 P 0.5000 0.0000 0.0000
S1 S 0.0000 0.0000 0.5000
S2 S 0.0000 0.5000 0.0000
Br1 Br 0.5000 0.5000 0.5000
```

- Volume: 193.1 Å³/f.u.
- Total DFT energy (no corrections): -52.698 eV per cell
- Formation energy without anion corrections: -1.70 eV/atom